# AcPmMgGe (PBE, optimized geometry)
data_AcPmMgGe
_space_group_name_H-M_alt 'F -4 3 m'
_space_group_IT_number 216
_space_group_name_Hall 'F -4 2 3'
_cell_length_a 7.717
_cell_length_b 7.717
_cell_length_c 7.717
_cell_angle_alpha 90.00
_cell_angle_beta 90.00
_cell_angle_gamma 90.00
loop_
_atom_site_label
_atom_site_type_symbol
_atom_site_fract_x
_atom_site_fract_y
_atom_site_fract_z
_atom_site_occupancy
Ac1 Ac 0.000 0.000 0.000 1
Pm1 Pm 0.000 0.000 0.500 1
Mg1 Mg 0.250 0.250 0.250 1
Ge1 Ge 0.250 0.250 0.750 1
# Spin magnetization, μB per atom: 0.00
# Calculated formation energy, meV/atom: -298
# DFT total energy, Ry per atom: -0.29885